Record 1
GGA-PBE Ba3YHg2O6, optimized geometry; total energy = -5.443 eV/atom; Fermi-level density of states = 4.6 states/eV per cell
1.0
6.343 0.000 0.000
-3.172 5.493 0.000
0.000 0.000 7.004
Ba Y Hg O
3 1 2 6
direct
0.000 0.000 0.000
0.333 0.667 0.613
0.667 0.333 0.387
0.000 0.000 0.500
0.333 0.667 0.129
0.667 0.333 0.871
0.164 0.328 0.311
0.164 0.836 0.311
0.328 0.164 0.689
0.672 0.836 0.311
0.836 0.164 0.689
0.836 0.672 0.689

***

Record 2
GGA-PBE Ba2YHgO4, optimized geometry; total energy = -5.985 eV/atom; Fermi-level density of states = 3.8 states/eV per cell
1.0
-2.862 2.862 5.819
2.862 -2.862 5.819
2.862 2.862 -5.819
Ba Y Hg O
2 1 1 4
direct
0.000 0.000 0.000
0.750 0.250 0.500
0.500 0.500 0.000
0.250 0.750 0.500
0.166 0.181 0.562
0.396 0.834 0.015
0.619 0.604 0.438
0.819 0.381 0.985

***

Record 3
GGA-PBE BaZnHg2O, optimized geometry; total energy = -2.220 eV/atom; Fermi-level density of states = 3.6 states/eV per cell
1.0
5.884 0.000 0.000
0.000 5.884 0.000
0.000 0.000 3.803
Ba Zn Hg O
1 1 2 1
direct
0.000 0.000 0.000
0.500 0.500 0.500
0.000 0.500 0.500
0.500 0.000 0.500
0.500 0.500 0.000